[1]
TaCdSi2: relaxed, PBE.

Unit cell a=6.529 b=6.529 c=6.529 alpha=90.00 beta=90.00 gamma=90.00
Fractional coordinates of all 16 atoms:
Ta  0.000  0.000  0.000
Ta  0.000  0.500  0.500
Ta  0.500  0.000  0.500
Ta  0.500  0.500  0.000
Cd  0.250  0.250  0.750
Cd  0.250  0.750  0.250
Cd  0.750  0.250  0.250
Cd  0.750  0.750  0.750
Si  0.000  0.000  0.500
Si  0.000  0.500  0.000
Si  0.250  0.250  0.250
Si  0.250  0.750  0.750
Si  0.500  0.000  0.000
Si  0.500  0.500  0.500
Si  0.750  0.250  0.750
Si  0.750  0.750  0.250

## Properties
- Symmetry: F-43m (216)
- Final energy: -5.195 eV/atom
- Density: 8.34 g/cm³
- Spin magnetization: 0.00 μB per formula unit
- Crystal system: cubic
- Formation energy from raw total energies: 2.83 eV per formula unit

---

[2]
TaCd4Si: relaxed, PBE.

Unit cell a=5.624 b=5.624 c=5.624 alpha=60.00 beta=60.00 gamma=60.00
Fractional coordinates of all 6 atoms:
Ta  0.000  0.000  0.000
Cd  0.124  0.625  0.625
Cd  0.625  0.124  0.625
Cd  0.625  0.625  0.124
Cd  0.625  0.625  0.625
Si  0.250  0.250  0.250

## Properties
- Symmetry: F-43m (216)
- Final energy: -2.777 eV/atom
- Density: 8.70 g/cm³
- Spin magnetization: 2.53 μB per formula unit
- Crystal system: cubic
- Formation energy from raw total energies: 4.27 eV per formula unit

---

[3]
TaCdSi2: relaxed, PBE.

Unit cell a=8.811 b=3.254 c=5.270 alpha=90.00 beta=101.05 gamma=90.00
Fractional coordinates of all 8 atoms:
Ta  0.000  0.000  0.000
Ta  0.500  0.500  0.000
Cd  0.000  0.500  0.500
Cd  0.500  0.000  0.500
Si  0.232  0.500  0.160
Si  0.268  0.000  0.840
Si  0.732  0.000  0.160
Si  0.768  0.500  0.840

## Properties
- Symmetry: C2/m (12)
- Final energy: -5.769 eV/atom
- Density: 7.83 g/cm³
- Spin magnetization: 0.00 μB per formula unit
- Crystal system: monoclinic
- Formation energy from raw total energies: 0.54 eV per formula unit

---

[4]
TaCdSi2: relaxed, PBE.

Unit cell a=3.784 b=4.324 c=8.117 alpha=90.00 beta=90.00 gamma=90.00
Fractional coordinates of all 8 atoms:
Ta  0.000  0.000  0.000
Ta  0.500  0.500  0.500
Cd  0.000  0.000  0.500
Cd  0.500  0.500  0.000
Si  0.000  0.500  0.253
Si  0.000  0.500  0.747
Si  0.500  0.000  0.247
Si  0.500  0.000  0.753

## Properties
- Symmetry: Immm (71)
- Final energy: -5.643 eV/atom
- Density: 8.74 g/cm³
- Spin magnetization: 0.00 μB per formula unit
- Crystal system: orthorhombic
- Formation energy from raw total energies: 1.04 eV per formula unit

---

[5]
TaCdSi2: relaxed, PBE.

Unit cell a=2.889 b=4.958 c=4.718 alpha=90.00 beta=90.02 gamma=90.00
Fractional coordinates of all 4 atoms:
Ta  0.000  0.000  0.000
Cd  0.499  0.500  0.247
Si  0.503  0.000  0.509
Si  0.998  0.500  0.751

## Properties
- Symmetry: Pm (6)
- Final energy: -5.717 eV/atom
- Density: 8.59 g/cm³
- Spin magnetization: 0.00 μB per formula unit
- Crystal system: monoclinic
- Formation energy from raw total energies: 0.74 eV per formula unit

---

[6]
Ta2Cd2Si: relaxed, PBE.

Unit cell a=6.561 b=6.561 c=4.392 alpha=90.00 beta=90.00 gamma=90.00
Fractional coordinates of all 10 atoms:
Ta  0.161  0.339  0.000
Ta  0.339  0.839  0.000
Ta  0.661  0.161  0.000
Ta  0.839  0.661  0.000
Cd  0.142  0.642  0.500
Cd  0.358  0.142  0.500
Cd  0.642  0.858  0.500
Cd  0.858  0.358  0.500
Si  0.000  0.000  0.500
Si  0.500  0.500  0.500

## Properties
- Symmetry: P4/mbm (127)
- Final energy: -5.380 eV/atom
- Density: 10.80 g/cm³
- Spin magnetization: 0.00 μB per formula unit
- Crystal system: tetragonal
- Formation energy from raw total energies: 4.06 eV per formula unit

---

[7]
TaCdSi2: relaxed, PBE.

Unit cell a=3.561 b=3.561 c=5.365 alpha=90.00 beta=90.00 gamma=90.00
Fractional coordinates of all 4 atoms:
Ta  0.000  0.000  0.000
Cd  0.500  0.500  0.311
Si  0.000  0.000  0.522
Si  0.500  0.500  0.811

## Properties
- Symmetry: P4mm (99)
- Final energy: -5.750 eV/atom
- Density: 8.53 g/cm³
- Spin magnetization: 0.00 μB per formula unit
- Crystal system: tetragonal
- Formation energy from raw total energies: 0.61 eV per formula unit

---

[8]
TaCdSi2: relaxed, PBE.

Unit cell a=2.834 b=2.834 c=8.558 alpha=90.00 beta=90.00 gamma=90.00
Fractional coordinates of all 4 atoms:
Ta  0.000  0.000  0.000
Cd  0.500  0.500  0.278
Si  0.000  0.000  0.552
Si  0.500  0.500  0.777

## Properties
- Symmetry: P4mm (99)
- Final energy: -5.592 eV/atom
- Density: 8.44 g/cm³
- Spin magnetization: 0.00 μB per formula unit
- Crystal system: tetragonal
- Formation energy from raw total energies: 1.25 eV per formula unit